Record 1
# AsSe2IN (PBE-GGA, relaxed)
data_AsSe2IN
_chemical_formula_sum 'As1 Se2 I1 N1'
_space_group_name_H-M_alt 'P 4/m m m'
_space_group_IT_number 123
_space_group_name_Hall '-P 4 2'
_cell_length_a 5.3429
_cell_length_b 5.3429
_cell_length_c 3.7193
_cell_angle_alpha 90.00
_cell_angle_beta 90.00
_cell_angle_gamma 90.00
loop_
_atom_site_label
_atom_site_fract_x
_atom_site_fract_y
_atom_site_fract_z
As1 0.0000 0.0000 0.0000
Se1 0.0000 0.5000 0.0000
I1 0.5000 0.5000 0.5000
N1 0.0000 0.0000 0.5000
# Crystal system ... tetragonal
# Magnetic moment ... 0.404 μB per formula unit
# Formation energy without anion corrections ... 0.92 eV per atom
# Energy ... -0.1241 Ha/atom

***

Record 2
# Mg2SbHPd (PBE-GGA, relaxed)
data_Mg2SbHPd
_chemical_formula_sum 'Mg2 Sb1 H1 Pd1'
_space_group_name_H-M_alt 'P 4/m m m'
_space_group_IT_number 123
_space_group_name_Hall '-P 4 2'
_cell_length_a 4.6670
_cell_length_b 4.6670
_cell_length_c 3.7817
_cell_angle_alpha 90.00
_cell_angle_beta 90.00
_cell_angle_gamma 90.00
loop_
_atom_site_label
_atom_site_fract_x
_atom_site_fract_y
_atom_site_fract_z
Mg1 0.0000 0.5000 0.0000
Sb1 0.0000 0.0000 0.5000
H1 0.5000 0.5000 0.0000
Pd1 0.5000 0.5000 0.5000
# Crystal system ... tetragonal
# Magnetic moment ... 0.000 μB per formula unit
# Energy ... -0.1276 Ha/atom

***

Record 3
# Ti5AlNi3 (PBE-GGA, relaxed)
data_Ti5AlNi3
_chemical_formula_sum 'Ti20 Al4 Ni12'
_space_group_name_H-M_alt 'C 1 2/m 1'
_space_group_IT_number 12
_cell_length_a 9.0254
_cell_length_b 7.0784
_cell_length_c 9.2432
_cell_angle_alpha 90.00
_cell_angle_beta 100.37
_cell_angle_gamma 90.00
loop_
_space_group_symop_operation_xyz
'x,y,z'
'-x,-y,-z'
'-x,y,-z'
'x,-y,z'
'x+1/2,y+1/2,z'
'-x+1/2,-y+1/2,-z'
'-x+1/2,y+1/2,-z'
'x+1/2,-y+1/2,z'
loop_
_atom_site_label
_atom_site_fract_x
_atom_site_fract_y
_atom_site_fract_z
Ti1 0.0000 0.1822 0.0000
Ti2 0.0253 0.0000 0.3190
Ti3 0.2035 0.2886 0.6612
Ti4 0.2266 0.0000 0.8747
Al1 0.0357 0.5000 0.2575
Ni1 0.0000 0.5000 0.0000
Ni2 0.0000 0.5000 0.5000
Ni3 0.2347 0.0000 0.5475
Ni4 0.2362 0.5000 0.8687
# Crystal system ... monoclinic
# Magnetic moment ... 0.884 μB per formula unit
# Formation energy ... 2.6 kJ per mole of atoms
# Energy ... -0.2463 Ha/atom

***

Record 4
# Bi2PdPt (PBE-GGA, relaxed)
data_Bi2PdPt
_chemical_formula_sum 'Bi8 Pd4 Pt4'
_space_group_name_H-M_alt 'I -4 2 d'
_space_group_IT_number 122
_space_group_name_Hall 'I -4 2bw'
_cell_length_a 7.6300
_cell_length_b 7.6300
_cell_length_c 6.4848
_cell_angle_alpha 90.00
_cell_angle_beta 90.00
_cell_angle_gamma 90.00
loop_
_atom_site_label
_atom_site_fract_x
_atom_site_fract_y
_atom_site_fract_z
Bi1 0.2458 0.7500 0.1250
Pd1 0.0000 0.0000 0.5000
Pt1 0.0000 0.0000 0.0000
# Crystal system ... tetragonal
# Magnetic moment ... 0.000 μB per formula unit
# Formation energy ... 2.2 kJ per mole of atoms
# Energy ... -0.1737 Ha/atom

***

Record 5
# KNd5Hg6 (PBE-GGA, relaxed)
data_KNd5Hg6
_chemical_formula_sum 'K2 Nd10 Hg12'
_space_group_name_H-M_alt 'C m m m'
_space_group_IT_number 65
_space_group_name_Hall '-C 2 2'
_cell_length_a 5.4470
_cell_length_b 16.3635
_cell_length_c 7.7458
_cell_angle_alpha 90.00
_cell_angle_beta 90.00
_cell_angle_gamma 90.00
loop_
_atom_site_label
_atom_site_fract_x
_atom_site_fract_y
_atom_site_fract_z
K1 0.0000 0.0000 0.0000
Nd1 0.0000 0.0000 0.5000
Nd2 0.0000 0.3356 0.5000
Nd3 0.0000 0.3374 0.0000
Hg1 0.0000 0.1736 0.2524
Hg2 0.0000 0.5000 0.2650
# Crystal system ... orthorhombic
# Magnetic moment ... 0.654 μB per formula unit
# Formation energy ... -38.1 kJ per mole of atoms
# Energy ... -0.0964 Ha/atom

***

Record 6
# AlCd2 (PBE-GGA, relaxed)
data_AlCd2
_chemical_formula_sum 'Al2 Cd4'
_space_group_name_H-M_alt 'I 4/m m m'
_space_group_IT_number 139
_space_group_name_Hall '-I 4 2'
_cell_length_a 3.0803
_cell_length_b 3.0803
_cell_length_c 13.2180
_cell_angle_alpha 90.00
_cell_angle_beta 90.00
_cell_angle_gamma 90.00
loop_
_atom_site_label
_atom_site_fract_x
_atom_site_fract_y
_atom_site_fract_z
Al1 0.0000 0.0000 0.0000
Cd1 0.0000 0.0000 0.3381
# Crystal system ... tetragonal
# Magnetic moment ... 0.000 μB per formula unit
# Formation energy ... 11.5 kJ per mole of atoms
# Energy ... -0.0639 Ha/atom

***

Record 7
# TlAgSe (PBE-GGA, relaxed)
data_TlAgSe
_chemical_formula_sum 'Tl2 Ag2 Se2'
_space_group_name_H-M_alt 'P 4/n m m'
_space_group_IT_number 129
_cell_length_a 4.4062
_cell_length_b 4.4062
_cell_length_c 8.1512
_cell_angle_alpha 90.00
_cell_angle_beta 90.00
_cell_angle_gamma 90.00
loop_
_space_group_symop_operation_xyz
'x,y,z'
'-x,-y,-z'
'-y+1/2,x,z'
'y+1/2,-x,-z'
'-x+1/2,-y+1/2,z'
'x+1/2,y+1/2,-z'
'y,-x+1/2,z'
'-y,x+1/2,-z'
'x+1/2,-y,-z'
'-x+1/2,y,z'
'-y,-x,-z'
'y,x,z'
'-x,y+1/2,-z'
'x,-y+1/2,z'
'y+1/2,x+1/2,-z'
'-y+1/2,-x+1/2,z'
loop_
_atom_site_label
_atom_site_fract_x
_atom_site_fract_y
_atom_site_fract_z
Tl1 0.2500 0.2500 0.1603
Ag1 0.2500 0.7500 0.5000
Se1 0.2500 0.2500 0.7124
# Crystal system ... tetragonal
# Magnetic moment ... 0.000 μB per formula unit
# Formation energy without anion corrections ... -0.25 eV per atom
# Energy ... -0.1157 Ha/atom

***

Record 8
# Zn2PbW (PBE-GGA, relaxed)
data_Zn2PbW
_chemical_formula_sum 'Zn4 Pb2 W2'
_space_group_name_H-M_alt 'I -4 m 2'
_space_group_IT_number 119
_space_group_name_Hall 'I -4 -2'
_cell_length_a 3.9390
_cell_length_b 3.9390
_cell_length_c 8.9634
_cell_angle_alpha 90.00
_cell_angle_beta 90.00
_cell_angle_gamma 90.00
loop_
_atom_site_label
_atom_site_fract_x
_atom_site_fract_y
_atom_site_fract_z
Zn1 0.0000 0.0000 0.0000
Zn2 0.0000 0.5000 0.2500
Pb1 0.0000 0.0000 0.5000
W1 0.0000 0.5000 0.7500
# Crystal system ... tetragonal
# Magnetic moment ... 0.000 μB per formula unit
# Formation energy ... 50.9 kJ per mole of atoms
# Energy ... -0.1571 Ha/atom

***

What is the energy in the fourth record?
-0.1737 Ha/atom